(1)
VASP calculation (PBE) on a relaxed K3MgU2Se6 crystal.

POSCAR file:
```
K3MgU2Se6
1.0
7.243 -0.001 0.000
-3.621 6.273 0.000
-1.208 -2.091 7.697
K Mg U Se
3 1 2 6
direct
0.166 0.834 0.500
0.834 0.166 0.500
0.500 0.500 0.500
0.000 0.000 0.000
0.333 0.667 0.000
0.667 0.333 0.000
0.932 0.603 0.797
0.739 0.739 0.203
0.068 0.397 0.203
0.603 0.932 0.797
0.261 0.261 0.797
0.397 0.068 0.203
```

Values from the calculation:
The value obtained for the mass density is 5.2 Mg/m³. As for the space group: C2/m, No. 12. The uncorrected formation energy is -1263.7 meV per atom.

(2)
VASP calculation (PBE) on a relaxed TaHg2Os crystal.

POSCAR file:
```
TaHg2Os
1.0
1.065 1.466 4.291
-3.393 0.924 3.054
-0.673 -2.809 3.654
Os Hg Ta
1 2 1
direct
0.500 0.500 0.500
0.250 0.250 0.250
0.750 0.750 0.750
0.000 0.000 0.000
```

Values from the calculation:
The calculated formation energy is 776.8 meV/atom. The value obtained for the mass density is 17.9 Mg/m³. As for the space group: Fm-3m, No. 225.

(3)
VASP calculation (PBE) on a relaxed TaSeNO2 crystal.

POSCAR file:
```
TaSeNO2
1.0
-3.269 -1.748 1.198
1.394 -3.433 -1.206
1.805 -0.660 3.963
N O Se Ta
1 2 1 1
direct
0.000 0.000 0.500
0.000 0.500 0.000
0.500 0.000 0.000
0.500 0.500 0.500
0.000 0.000 0.000
```

Values from the calculation:
The value obtained for the mass density is 7.6 Mg/m³. As for the space group: P4/mmm, No. 123. The uncorrected formation energy is -765.0 meV per atom.